## CsLi2HfPt (PBE)

Data for a relaxed structure of CsLi2HfPt. Values from VASP.

Summary:
- formation energy (eV per atom) = 1.42

Cell and atoms, written as Quantum ESPRESSO input:
```
&SYSTEM
  ibrav = 0, nat = 5, ntyp = 4
/
ATOMIC_SPECIES
Hf 178.49 Hf.upf
Pt 195.08 Pt.upf
Cs 132.91 Cs.upf
Li 6.94 Li.upf
CELL_PARAMETERS angstrom
-4.235 0.403 -1.462
-1.238 -5.166 2.162
-1.165 1.912 3.902
ATOMIC_POSITIONS angstrom
Hf -0.619 -2.583 1.081
Pt -3.319 -1.425 2.301
Cs 0.000 0.000 0.000
Li -2.118 0.202 -0.731
Li -0.582 0.956 1.951
```

***

## Cs2Li2HfS4 (PBE)

Data for a relaxed structure of Cs2Li2HfS4. Values from VASP.

Summary:
- formation energy without anion corrections (eV per atom) = -1.417

Cell and atoms, written as Quantum ESPRESSO input:
```
&SYSTEM
  ibrav = 0, nat = 9, ntyp = 4
/
ATOMIC_SPECIES
Li 6.94 Li.upf
Cs 132.91 Cs.upf
S 32.06 S.upf
Hf 178.49 Hf.upf
CELL_PARAMETERS angstrom
-1.038 -2.482 2.919
-1.255 -5.763 -5.345
7.558 0.873 0.731
ATOMIC_POSITIONS angstrom
Li 4.500 -0.347 1.305
Li 0.765 -7.024 -3.001
Cs 1.259 -3.348 -2.398
Cs 4.006 -4.024 0.703
S -1.297 -5.823 -2.712
S 2.376 -0.970 0.020
S 6.562 -1.549 1.017
S 2.889 -6.402 -1.716
Hf 0.000 0.000 0.000
```